Computed, not measured: crystalline ScSnAu at its relaxed geometry at the PBE level of DFT.

CIF file:
```
data_ScSnAu
_cell_length_a 7.819
_cell_length_b 7.819
_cell_length_c 7.819
_cell_angle_alpha 34.21
_cell_angle_beta 34.21
_cell_angle_gamma 34.21
_space_group_name_H-M_alt 'P 1'
_space_group_IT_number 1
loop_
_space_group_symop_operation_xyz
'x,y,z'
loop_
_atom_site_label
_atom_site_type_symbol
_atom_site_fract_x
_atom_site_fract_y
_atom_site_fract_z
Sc1 Sc 0.000 0.000 0.000
Sc2 Sc 0.159 0.159 0.159
Sn1 Sn 0.577 0.577 0.577
Sn2 Sn 0.738 0.738 0.738
Au1 Au 0.283 0.283 0.283
Au2 Au 0.445 0.445 0.445
```

* formation energy from the elements: -0.606 eV/atom
* crystal system: trigonal

---

Computed, not measured: crystalline NiWSN2 at its relaxed geometry at the PBE level of DFT.

CIF file:
```
data_NiWSN2
_cell_length_a 3.695
_cell_length_b 3.695
_cell_length_c 4.330
_cell_angle_alpha 90.00
_cell_angle_beta 90.00
_cell_angle_gamma 90.00
_space_group_name_H-M_alt 'P 1'
_space_group_IT_number 1
loop_
_space_group_symop_operation_xyz
'x,y,z'
loop_
_atom_site_label
_atom_site_type_symbol
_atom_site_fract_x
_atom_site_fract_y
_atom_site_fract_z
Ni1 Ni 0.000 0.000 0.000
W1 W 0.500 0.500 0.500
S1 S 0.000 0.000 0.500
N1 N 0.000 0.500 0.000
N2 N 0.500 0.000 0.000
```

* E above lowest polymorph: 0.860 eV per atom
* crystal system: tetragonal
* formation energy (no corrections): 1440 meV per atom

---

Computed, not measured: crystalline TlHg3Bi3 at its relaxed geometry at the PBE level of DFT.

CIF file:
```
data_TlHg3Bi3
_cell_length_a 8.293
_cell_length_b 8.293
_cell_length_c 8.293
_cell_angle_alpha 90.00
_cell_angle_beta 90.00
_cell_angle_gamma 90.00
_space_group_name_H-M_alt 'P 1'
_space_group_IT_number 1
loop_
_space_group_symop_operation_xyz
'x,y,z'
loop_
_atom_site_label
_atom_site_type_symbol
_atom_site_fract_x
_atom_site_fract_y
_atom_site_fract_z
Tl1 Tl 0.000 0.000 0.000
Tl2 Tl 0.500 0.500 0.500
Hg1 Hg 0.000 0.250 0.500
Hg2 Hg 0.000 0.750 0.500
Hg3 Hg 0.250 0.500 0.000
Hg4 Hg 0.500 0.000 0.250
Hg5 Hg 0.500 0.000 0.750
Hg6 Hg 0.750 0.500 0.000
Bi1 Bi 0.000 0.500 0.250
Bi2 Bi 0.000 0.500 0.750
Bi3 Bi 0.250 0.000 0.500
Bi4 Bi 0.500 0.250 0.000
Bi5 Bi 0.500 0.750 0.000
Bi6 Bi 0.750 0.000 0.500
```

* E above lowest polymorph: 0.222 eV per atom
* formation energy from the elements: 0.255 eV/atom
* crystal system: cubic

---

no.,D(E_F) (states/eV/cell)
1,2.13
2,3.35
3,10.93